Entry 1:
## ZrSbRu (PBEsol)

Data for a relaxed structure of ZrSbRu.

a b c (Å): 6.265 6.265 6.265
angles (deg): 90.00 90.00 90.00
Space group F-43m (No. 216)
Symmetry-distinct sites (fractional):
Zr  0.000  0.000  0.000 (multiplicity 4)
Sb  0.000  0.000  0.500 (multiplicity 4)
Ru  0.250  0.250  0.750 (multiplicity 4)

E_form (uncorrected): -1.7 eV/f.u.
DOS at the Fermi energy: 4.6 states/eV/f.u.
magnetic moment: 0.0 μB/cell
final energy: -8.50 eV/atom
crystal system: cubic

***

Entry 2:
## SrRe2W (PBEsol)

Data for a relaxed structure of SrRe2W.

a b c (Å): 2.918 2.918 8.775
angles (deg): 90.00 90.00 90.00
Space group P4mm (No. 99)
Symmetry-distinct sites (fractional):
Sr  0.000  0.000  0.000 (multiplicity 1)
Re  0.000  0.000  0.531 (multiplicity 1)
Re  0.500  0.500  0.709 (multiplicity 1)
W  0.500  0.500  0.317 (multiplicity 1)

DOS at the Fermi energy: 4.5 states/eV/f.u.
E above lowest polymorph: 0.0 meV per atom
magnetic moment: 0.0 μB/cell
final energy: -9.81 eV/atom
crystal system: tetragonal

***

Entry 3:
## FeSi4P4 (PBEsol)

Data for a relaxed structure of FeSi4P4.

a b c (Å): 4.843 5.492 6.024
angles (deg): 85.35 68.46 70.46
Space group P1 (No. 1)
Symmetry-distinct sites (fractional):
Fe  0.000  0.000  0.000 (multiplicity 1)
Si  0.240  0.337  0.429 (multiplicity 1)
Si  0.341  0.598  0.887 (multiplicity 1)
Si  0.682  0.777  0.215 (multiplicity 1)
Si  0.847  0.971  0.698 (multiplicity 1)
P  0.155  0.007  0.306 (multiplicity 1)
P  0.326  0.214  0.771 (multiplicity 1)
P  0.640  0.395  0.114 (multiplicity 1)
P  0.760  0.639  0.565 (multiplicity 1)

E_form (uncorrected): -3.1 eV/f.u.
magnetic moment: 0.0 μB/cell
final energy: -6.47 eV/atom
crystal system: triclinic

***

Entry 4:
## CrRu2Cl (PBEsol)

Data for a relaxed structure of CrRu2Cl.

a b c (Å): 2.7551 2.7551 24.2081
angles (deg): 90.00 90.00 120.00
Space group R-3m (No. 166, hexagonal axes)
Symmetry-distinct sites (fractional):
Cr  0.0000  0.0000  0.0000 (multiplicity 3)
Ru  0.0000  0.0000  0.2531 (multiplicity 6)
Cl  0.0000  0.0000  0.5000 (multiplicity 3)

E_form (uncorrected): 1.4 eV/f.u.
DOS at the Fermi energy: 4.6 states/eV/f.u.
E above lowest polymorph: 0.0 meV per atom
magnetic moment: 0.0 μB/cell
final energy: -7.81 eV/atom
crystal system: trigonal

***

Entry 5:
## NaLa2AlC (PBEsol)

Data for a relaxed structure of NaLa2AlC.

a b c (Å): 5.357 5.357 4.105
angles (deg): 90.00 90.00 90.00
Space group P4/mmm (No. 123)
Symmetry-distinct sites (fractional):
Na  0.000  0.000  0.000 (multiplicity 1)
La  0.000  0.500  0.500 (multiplicity 2)
Al  0.500  0.500  0.000 (multiplicity 1)
C  0.500  0.500  0.500 (multiplicity 1)

DOS at the Fermi energy: 4.6 states/eV/f.u.
magnetic moment: 0.0 μB/cell
final energy: -5.09 eV/atom
crystal system: tetragonal

***

Entry 6:
## NbSI (PBEsol)

Data for a relaxed structure of NbSI.

a b c (Å): 10.595 10.595 10.595
angles (deg): 90.00 90.00 90.00
Space group F-43m (No. 216)
Symmetry-distinct sites (fractional):
Nb  0.098  0.098  0.098 (multiplicity 16)
S  0.127  0.127  0.873 (multiplicity 16)
I  0.125  0.125  0.375 (multiplicity 16)

E_form (uncorrected): -2.7 eV/f.u.
DOS at the Fermi energy: 2.6 states/eV/f.u.
magnetic moment: 7.4 μB/cell
final energy: -6.55 eV/atom
crystal system: cubic

***

Entry 7:
## RuPtC2 (PBEsol)

Data for a relaxed structure of RuPtC2.

a b c (Å): 4.591 4.591 9.180
angles (deg): 90.00 90.00 90.00
Space group I-42d (No. 122)
Symmetry-distinct sites (fractional):
Ru  0.000  0.000  0.000 (multiplicity 4)
Pt  0.000  0.000  0.500 (multiplicity 4)
C  0.234  0.250  0.125 (multiplicity 8)

DOS at the Fermi energy: 1.4 states/eV/f.u.
magnetic moment: 0.0 μB/cell
final energy: -8.47 eV/atom
crystal system: tetragonal

***

Entry 8:
## Zr2Te2Pt (PBEsol)

Data for a relaxed structure of Zr2Te2Pt.

a b c (Å): 4.074 4.074 13.964
angles (deg): 90.00 90.00 90.00
Space group I4/mmm (No. 139)
Symmetry-distinct sites (fractional):
Zr  0.000  0.000  0.098 (multiplicity 4)
Te  0.000  0.500  0.250 (multiplicity 4)
Pt  0.000  0.000  0.500 (multiplicity 2)

E_form (uncorrected): -0.1 eV/f.u.
DOS at the Fermi energy: 3.3 states/eV/f.u.
magnetic moment: 0.0 μB/cell
final energy: -6.46 eV/atom
crystal system: tetragonal

***

Entry 9:
## Li2FeTcF (PBEsol)

Data for a relaxed structure of Li2FeTcF.

a b c (Å): 4.772 4.772 3.538
angles (deg): 90.00 90.00 90.00
Space group P4/mmm (No. 123)
Symmetry-distinct sites (fractional):
Li  0.000  0.500  0.000 (multiplicity 2)
Fe  0.000  0.000  0.000 (multiplicity 1)
Tc  0.500  0.500  0.500 (multiplicity 1)
F  0.000  0.000  0.500 (multiplicity 1)

E_form (uncorrected): 3.5 eV/f.u.
DOS at the Fermi energy: 5.4 states/eV/f.u.
magnetic moment: 5.8 μB/cell
final energy: -4.52 eV/atom
crystal system: tetragonal

***

Entry 10:
## AsAu5 (PBEsol)

Data for a relaxed structure of AsAu5.

a b c (Å): 10.807 2.873 6.900
angles (deg): 90.00 105.60 90.00
Space group Cm (No. 8)
Symmetry-distinct sites (fractional):
As  0.000  0.000  0.000 (multiplicity 2)
Au  0.056  0.000  0.612 (multiplicity 2)
Au  0.169  0.500  0.338 (multiplicity 2)
Au  0.220  0.500  0.948 (multiplicity 2)
Au  0.335  0.000  0.674 (multiplicity 2)
Au  0.391  0.000  0.278 (multiplicity 2)

DOS at the Fermi energy: 1.9 states/eV/f.u.
magnetic moment: 0.0 μB/cell
final energy: -4.03 eV/atom
crystal system: monoclinic

***

Entry 11:
## Cd2PbAu (PBEsol)

Data for a relaxed structure of Cd2PbAu.

a b c (Å): 3.605 4.565 5.744
angles (deg): 90.00 108.43 90.00
Space group Pm (No. 6)
Symmetry-distinct sites (fractional):
Cd  0.000  0.000  0.000 (multiplicity 1)
Cd  0.426  0.500  0.849 (multiplicity 1)
Pb  0.688  0.500  0.383 (multiplicity 1)
Au  0.272  0.000  0.543 (multiplicity 1)

DOS at the Fermi energy: 1.5 states/eV/f.u.
magnetic moment: 0.0 μB/cell
final energy: -2.59 eV/atom
crystal system: monoclinic

***

Entry 12:
## Na2TiHgMo (PBEsol)

Data for a relaxed structure of Na2TiHgMo.

a b c (Å): 5.533 5.533 4.341
angles (deg): 90.00 90.00 90.00
Space group P4/mmm (No. 123)
Symmetry-distinct sites (fractional):
Na  0.000  0.500  0.000 (multiplicity 2)
Ti  0.000  0.000  0.000 (multiplicity 1)
Hg  0.500  0.500  0.500 (multiplicity 1)
Mo  0.000  0.000  0.500 (multiplicity 1)

DOS at the Fermi energy: 2.9 states/eV/f.u.
magnetic moment: 0.1 μB/cell
final energy: -3.47 eV/atom
crystal system: tetragonal

***

Entry 13:
## Ti5O9 (PBEsol)

Data for a relaxed structure of Ti5O9.

a b c (Å): 5.553 7.109 8.452
angles (deg): 69.44 75.08 71.39
Space group P-1 (No. 2)
Symmetry-distinct sites (fractional):
Ti  0.000  0.000  0.000 (multiplicity 1)
Ti  0.000  0.500  0.000 (multiplicity 1)
Ti  0.279  0.175  0.574 (multiplicity 2)
Ti  0.282  0.671  0.578 (multiplicity 2)
Ti  0.344  0.658  0.206 (multiplicity 2)
Ti  0.349  0.156  0.206 (multiplicity 2)
O  0.020  0.692  0.762 (multiplicity 2)
O  0.070  0.694  0.421 (multiplicity 2)
O  0.081  0.696  0.082 (multiplicity 2)
O  0.262  0.961  0.137 (multiplicity 2)
O  0.282  0.986  0.797 (multiplicity 2)
O  0.313  0.967  0.458 (multiplicity 2)
O  0.372  0.353  0.978 (multiplicity 2)
O  0.409  0.348  0.323 (multiplicity 2)
O  0.415  0.367  0.634 (multiplicity 2)

E_form (uncorrected): -42.3 eV/f.u.
DOS at the Fermi energy: 6.8 states/eV/f.u.
magnetic moment: 1.8 μB/cell
final energy: -9.37 eV/atom
crystal system: triclinic

***

Entry 14:
## Sr2AsRh (PBEsol)

Data for a relaxed structure of Sr2AsRh.

a b c (Å): 4.484 4.597 10.261
angles (deg): 90.00 90.00 90.00
Space group Amm2 (No. 38)
Symmetry-distinct sites (fractional):
Sr  0.000  0.000  0.000 (multiplicity 2)
Sr  0.500  0.000  0.290 (multiplicity 2)
As  0.000  0.000  0.694 (multiplicity 2)
Rh  0.500  0.000  0.597 (multiplicity 2)

DOS at the Fermi energy: 1.9 states/eV/f.u.
magnetic moment: 0.0 μB/cell
final energy: -4.92 eV/atom
crystal system: orthorhombic

***

Entry 15:
## AlTlOs4 (PBEsol)

Data for a relaxed structure of AlTlOs4.

a b c (Å): 7.332 7.332 7.332
angles (deg): 90.00 90.00 90.00
Space group F-43m (No. 216)
Symmetry-distinct sites (fractional):
Al  0.000  0.000  0.000 (multiplicity 4)
Tl  0.250  0.250  0.250 (multiplicity 4)
Os  0.125  0.125  0.625 (multiplicity 16)

DOS at the Fermi energy: 10.1 states/eV/f.u.
magnetic moment: 0.0 μB/cell
final energy: -8.42 eV/atom
crystal system: cubic

***

Entry 16:
## Si3MoF (PBEsol)

Data for a relaxed structure of Si3MoF.

a b c (Å): 4.631 4.631 4.631
angles (deg): 90.00 90.00 90.00
Space group Pm-3m (No. 221)
Symmetry-distinct sites (fractional):
Si  0.000  0.000  0.500 (multiplicity 3)
Mo  0.000  0.000  0.000 (multiplicity 1)
F  0.500  0.500  0.500 (multiplicity 1)

E_form (uncorrected): 0.6 eV/f.u.
DOS at the Fermi energy: 2.1 states/eV/f.u.
magnetic moment: 0.0 μB/cell
final energy: -6.06 eV/atom
crystal system: cubic

***

Entry 17:
## Zn2AsSe (PBEsol)

Data for a relaxed structure of Zn2AsSe.

a b c (Å): 6.505 6.505 6.505
angles (deg): 90.00 90.00 90.00
Space group Fm-3m (No. 225)
Symmetry-distinct sites (fractional):
Zn  0.250  0.250  0.250 (multiplicity 8)
As  0.000  0.000  0.000 (multiplicity 4)
Se  0.000  0.000  0.500 (multiplicity 4)

E_form (uncorrected): 1.0 eV/f.u.
DOS at the Fermi energy: 2.2 states/eV/f.u.
magnetic moment: 0.0 μB/cell
final energy: -2.79 eV/atom
crystal system: cubic

***

Entry 18:
## Zr2Mo (PBEsol)

Data for a relaxed structure of Zr2Mo.

a b c (Å): 4.543 4.543 3.195
angles (deg): 90.00 90.00 90.00
Space group P4/mmm (No. 123)
Symmetry-distinct sites (fractional):
Zr  0.000  0.500  0.000 (multiplicity 2)
Mo  0.000  0.000  0.500 (multiplicity 1)

DOS at the Fermi energy: 3.5 states/eV/f.u.
E above lowest polymorph: 463.0 meV per atom
magnetic moment: 0.0 μB/cell
final energy: -9.51 eV/atom
crystal system: tetragonal

***

Entry 19:
## Rb2NaBr (PBEsol)

Data for a relaxed structure of Rb2NaBr.

a b c (Å): 9.766 9.766 10.038
angles (deg): 90.00 90.00 90.00
Space group I-42d (No. 122)
Symmetry-distinct sites (fractional):
Rb  0.181  0.750  0.125 (multiplicity 8)
Na  0.000  0.000  0.500 (multiplicity 4)
Br  0.000  0.000  0.000 (multiplicity 4)

E_form (uncorrected): -2.8 eV/f.u.
DOS at the Fermi energy: 0.8 states/eV/f.u.
magnetic moment: 0.0 μB/cell
final energy: -2.04 eV/atom
crystal system: tetragonal

***

Entry 20:
## Ba2CaAg (PBEsol)

Data for a relaxed structure of Ba2CaAg.

a b c (Å): 3.960 3.960 10.116
angles (deg): 90.00 90.00 90.00
Space group P4mm (No. 99)
Symmetry-distinct sites (fractional):
Ba  0.000  0.000  0.000 (multiplicity 1)
Ba  0.500  0.500  0.345 (multiplicity 1)
Ca  0.000  0.000  0.646 (multiplicity 1)
Ag  0.500  0.500  0.794 (multiplicity 1)

DOS at the Fermi energy: 3.3 states/eV/f.u.
E above lowest polymorph: 0.0 meV per atom
magnetic moment: 0.0 μB/cell
final energy: -2.53 eV/atom
crystal system: tetragonal